Entry 1:
VASP calculation (GGA-PBE) on Tl3Cl after structural relaxation.

The structure in POSCAR format:
```
Tl3Cl
1.0
-3.2007 -2.3821 1.5441
-0.3046 -2.0254 -3.7560
4.4622 -4.6165 2.1276
Cl Tl
1 3
Direct
0.0000 0.0000 0.0000 Cl
0.5000 0.5000 0.2355 Tl
0.0000 0.0000 0.5000 Tl
0.5000 0.5000 0.7645 Tl
```

## Properties
**Formation energy without anion corrections**: -0.34 eV per atom
**DOS(E_F)**: 1.37 states/eV/cell
**Relative energy among the computed polymorphs**: 0.74 kcal/mol of atoms
**Calculated density**: 8.7 g/cm3
**Calculated volume**: 124 Å³/cell


Entry 2:
VASP calculation (GGA-PBE) on KMgBeSe after structural relaxation.

The structure in POSCAR format:
```
KMgBeSe
1.0
-3.3575 1.0435 -4.5284
2.5694 -1.0450 -2.1458
-0.9737 -5.4601 1.4932
Be K Mg Se
1 1 1 1
Direct
0.2154 0.0000 0.0174 Be
0.6378 0.0000 0.6460 K
0.0538 0.5000 0.2798 Mg
0.1812 0.5000 0.7776 Se
```

## Properties
**Formation energy without anion corrections**: -0.19 eV per atom
**DOS(E_F)**: 1.76 states/eV/cell
**Relative energy among the computed polymorphs**: 2.10 kcal/mol of atoms
**Calculated density**: 2.3 g/cm3
**Calculated volume**: 111 Å³/cell